Entry 1:
Below is crystalline RbHfCoBi2 at its relaxed geometry, with properties calculated at the PBE level.

It has space group P4/mmm (No. 123), with a = 5.5200 Å, b = 5.5200 Å, c = 4.7806 Å, α = 90.00°, β = 90.00° and γ = 90.00°. The distinct sites, in fractional coordinates, are Rb at (0.0000, 0.0000, 0.0000), Hf at (0.5000, 0.5000, 0.0000), Co at (0.5000, 0.5000, 0.5000) and Bi at (0.0000, 0.5000, 0.5000).

For the formation energy, the calculation gives 422 meV/atom. As for the crystal system: tetragonal.

=====

Entry 2:
Below is crystalline La3In7Au4 at its relaxed geometry, with properties calculated at the PBE level.

It has space group C2/m (No. 12), with a = 17.4489 Å, b = 4.7047 Å, c = 10.5032 Å, α = 90.00°, β = 126.24° and γ = 90.00°. The distinct sites, in fractional coordinates, are La at (0.0000, 0.0000, 0.0000), La at (0.1888, 0.5000, 0.6943), In at (0.0000, 0.0000, 0.5000), In at (0.0033, 0.5000, 0.2942), In at (0.1607, 0.0000, 0.4299), In at (0.1755, 0.5000, 0.0320), Au at (0.1285, 0.0000, 0.8519) and Au at (0.1524, 0.5000, 0.2674).

For the formation energy, the calculation gives -577 meV/atom. As for the crystal system: monoclinic.

=====

Entry 3:
Below is crystalline Tb8Pm6Pr at its relaxed geometry, with properties calculated at the PBE level.

It has space group R-3 (No. 148, hexagonal axes), with a = 9.2855 Å, b = 9.2855 Å, c = 20.3297 Å, α = 90.00°, β = 90.00° and γ = 120.00°. The distinct sites, in fractional coordinates, are Tb at (0.0000, 0.0000, 0.0707), Tb at (0.0669, 0.2466, 0.6620), Pm at (0.0454, 0.2449, 0.1929) and Pr at (0.0000, 0.0000, 0.5000).

For the formation energy, the calculation gives 157 meV/atom. As for the crystal system: trigonal.

=====

Entry 4:
Below is crystalline K2HgSeS at its relaxed geometry, with properties calculated at the PBE level.

It has space group P2_1/m (No. 11), with a = 8.2014 Å, b = 4.3260 Å, c = 10.0100 Å, α = 90.00°, β = 107.21° and γ = 90.00°. The distinct sites, in fractional coordinates, are K at (0.1687, 0.2500, 0.3950), K at (0.1961, 0.2500, 0.9522), Hg at (0.4893, 0.2500, 0.7388), Se at (0.2810, 0.7500, 0.6917) and S at (0.2018, 0.7500, 0.1807).

The uncorrected formation energy is -0.831 eV/atom. As for the crystal system: monoclinic.